Run P
Compound: SrCoMo2
Source: Alexandria via LeMat-Bulk
Functional: GGA-PBE
Structure: relaxed

Calculated values
The theoretical density comes out at 8.4 Mg/m³. As for the space group: No. 225.

a = 4.5622 Å, b = 4.5622 Å, c = 4.5622 Å
α = 60.00°, β = 60.00°, γ = 60.00°
Fractional positions:
Sr (0.5000, 0.5000, 0.5000)
Co (0.0000, 0.0000, 0.0000)
Mo (0.2500, 0.2500, 0.2500)
Mo (0.7500, 0.7500, 0.7500)

---

Run Q
Compound: SrCoMo2
Source: Alexandria via LeMat-Bulk
Functional: GGA-PBE
Structure: relaxed

Calculated values
The theoretical density comes out at 7.2 Mg/m³. As for the space group: No. 99.

a = 3.2318 Å, b = 3.2318 Å, c = 7.5056 Å
α = 90.00°, β = 90.00°, γ = 90.00°
Fractional positions:
Co (0.5000, 0.5000, 0.8228)
Sr (0.0000, 0.0000, 0.5137)
Mo (0.0000, 0.0000, 0.9926)
Mo (0.5000, 0.5000, 0.1709)

---

Run R
Compound: SrCoMo2
Source: Alexandria via LeMat-Bulk
Functional: GGA-PBE
Structure: relaxed

Calculated values
The theoretical density comes out at 7.7 Mg/m³. As for the space group: No. 71.

a = 6.0987 Å, b = 6.0987 Å, c = 6.0987 Å
α = 154.15°, β = 132.34°, γ = 55.01°
Fractional positions:
Mo (0.0471, 0.0471, 0.0000)
Sr (0.7500, 0.2500, 0.5000)
Co (0.2500, 0.7500, 0.5000)
Mo (0.4529, 0.4529, 0.0000)

---

Run S
Compound: SrCoMo2
Source: Alexandria via LeMat-Bulk
Functional: GGA-PBE
Structure: relaxed

Calculated values
The theoretical density comes out at 7.9 Mg/m³. As for the space group: No. 216.

a = 4.6454 Å, b = 4.6454 Å, c = 4.6454 Å
α = 60.00°, β = 60.00°, γ = 60.00°
Fractional positions:
Mo (0.0000, 0.0000, 0.0000)
Mo (0.2500, 0.2500, 0.2500)
Co (0.5000, 0.5000, 0.5000)
Sr (0.7500, 0.7500, 0.7500)

---

It is run Q that is the most stable of them.

---

Run P
Compound: SrCoMo
Source: Alexandria via LeMat-Bulk
Functional: GGA-PBE
Structure: relaxed

Calculated values
The theoretical density comes out at 6.2 Mg/m³. As for the space group: No. 216.

a = 6.3653 Å, b = 6.3653 Å, c = 6.3653 Å
α = 90.00°, β = 90.00°, γ = 90.00°
Fractional positions:
Sr (0.5000, 0.0000, 0.0000)
Sr (0.0000, 0.0000, 0.5000)
Sr (0.5000, 0.5000, 0.5000)
Co (0.2500, 0.7500, 0.2500)
Mo (0.5000, 0.0000, 0.5000)
Co (0.2500, 0.2500, 0.7500)
Mo (0.0000, 0.5000, 0.5000)
Mo (0.0000, 0.0000, 0.0000)
Co (0.7500, 0.7500, 0.7500)
Sr (0.0000, 0.5000, 0.0000)
Mo (0.5000, 0.5000, 0.0000)
Co (0.7500, 0.2500, 0.2500)

---

Run Q
Compound: SrCoMo
Source: Alexandria via LeMat-Bulk
Functional: GGA-PBE
Structure: relaxed

Calculated values
The theoretical density comes out at 5.2 Mg/m³. As for the space group: No. 216.

a = 4.7937 Å, b = 4.7937 Å, c = 4.7937 Å
α = 60.00°, β = 60.00°, γ = 60.00°
Fractional positions:
Sr (0.7500, 0.7500, 0.7500)
Co (0.0000, 0.0000, 0.0000)
Mo (0.5000, 0.5000, 0.5000)

---

Run R
Compound: SrCoMo
Source: Alexandria via LeMat-Bulk
Functional: GGA-PBE
Structure: relaxed

Calculated values
The theoretical density comes out at 6.5 Mg/m³. As for the space group: No. 107.

a = 6.3597 Å, b = 6.3597 Å, c = 6.3597 Å
α = 150.46°, β = 150.45°, γ = 42.28°
Fractional positions:
Co (0.9529, 0.9529, 0.0000)
Sr (0.6620, 0.6620, 0.0000)
Mo (0.3851, 0.3851, 0.0000)

---

It is run R that is the most stable of them.

---

Run P
Compound: Sr2Co2Mo
Source: Alexandria via LeMat-Bulk
Functional: GGA-PBE
Structure: relaxed

Calculated values
The theoretical density comes out at 5.9 Mg/m³. As for the space group: No. 139.

a = 3.2667 Å, b = 3.2667 Å, c = 10.5984 Å
α = 81.13°, β = 81.13°, γ = 90.00°
Fractional positions:
Co (0.2500, 0.7500, 0.5000)
Mo (0.0000, 0.0000, 0.0000)
Sr (0.6193, 0.6193, 0.7615)
Sr (0.3807, 0.3807, 0.2385)
Co (0.7500, 0.2500, 0.5000)

---

Run Q
Compound: Sr2Co2Mo
Source: Alexandria via LeMat-Bulk
Functional: GGA-PBE
Structure: relaxed

Calculated values
The theoretical density comes out at 6.3 Mg/m³. As for the space group: No. 127.

a = 8.3901 Å, b = 8.3901 Å, c = 2.9300 Å
α = 90.00°, β = 90.00°, γ = 90.00°
Fractional positions:
Co (0.8253, 0.3253, 0.5000)
Sr (0.3654, 0.8654, 0.0000)
Co (0.3253, 0.1747, 0.5000)
Co (0.6747, 0.8253, 0.5000)
Sr (0.6346, 0.1346, 0.0000)
Mo (0.0000, 0.0000, 0.0000)
Mo (0.5000, 0.5000, 0.0000)
Sr (0.1346, 0.3654, 0.0000)
Sr (0.8654, 0.6346, 0.0000)
Co (0.1747, 0.6747, 0.5000)

---

It is run P that is the most stable of them.